1.
This record from the Alexandria database describes an optimized crystal structure of Zn3InI9. The functional is PBE.

The structure in extended XYZ format:
```
26
Lattice="3.6532 -8.8541 3.1435 1.1206 -8.0278 -7.7498 12.1550 -1.2524 -1.4897" Properties=species:S:1:pos:R:3 pbc="T T T"
Zn 11.7590 -12.5495 -2.7646
Zn 5.6282 -9.1381 2.2915
Zn 14.7514 -17.4459 -5.4474
Zn 5.3239 -6.0447 -3.2280
Zn 11.2194 -8.0340 -1.1524
Zn 5.2078 -10.2236 -4.7078
In 0.6826 -4.2113 -3.8601
In 7.8653 -4.8601 0.7031
I 5.3769 -4.7261 -0.9361
I 11.4586 -8.0184 -6.0344
I 13.0387 -6.7132 -2.5412
I 7.7039 -10.5432 -5.5143
I 9.3001 -3.1040 -1.1843
I 3.2850 -5.2851 -4.7427
I 4.1588 -12.4335 -3.6746
I 8.8056 -6.9361 -1.2935
I 8.5078 -15.1132 -5.1982
I 14.3039 -12.4016 -1.8281
I 11.5045 -12.2337 -5.3643
I 6.2291 -10.8956 0.4278
I 5.0893 -8.5896 -2.6172
I 12.8203 -15.8791 -6.2963
I 10.4498 -10.5707 -1.5770
I 3.1214 -9.5690 -6.2655
I 3.3423 -7.8693 1.9179
I 7.3124 -6.0440 -4.9974
```

Summary:
Uncorrected formation energy ... -479 meV/atom
DFT total energy ... -2.06 eV/atom
Total moment ... 0.00 μB per formula unit

***

2.
This record from the Alexandria database describes an optimized crystal structure of ZnIn2I2. The functional is PBE.

The structure in extended XYZ format:
```
10
Lattice="9.6728 0.0000 0.0000 0.0000 9.6728 0.0000 0.0000 0.0000 4.2824" Properties=species:S:1:pos:R:3 pbc="T T T"
I 3.3887 8.2251 0.0000
I 8.2251 6.2840 0.0000
I 6.2840 1.4477 0.0000
I 1.4477 3.3887 0.0000
Zn 0.0000 0.0000 0.0000
Zn 4.8364 4.8364 0.0000
In 1.4067 6.2431 2.1412
In 6.2431 8.2660 2.1412
In 8.2660 3.4296 2.1412
In 3.4296 1.4067 2.1412
```

Summary:
Uncorrected formation energy ... -111 meV/atom
Energy relative to the lowest polymorph listed for this composition ... 7.9 kJ per mole of atoms
DFT total energy ... -2.08 eV/atom
Total moment ... 0.00 μB per formula unit

***

3.
This record from the Alexandria database describes an optimized crystal structure of ZnIn2I4. The functional is PBE.

The structure in extended XYZ format:
```
7
Lattice="-3.1458 3.2370 3.5767 -3.9584 0.7082 -4.1226 -7.5495 -4.8567 2.3920" Properties=species:S:1:pos:R:3 pbc="T T T"
I -8.4378 1.6670 0.3431
I -6.2160 -2.5784 1.5029
I -1.9792 0.3541 -2.0613
I -1.5729 1.6185 1.7883
Zn 0.0000 0.0000 0.0000
In -10.0472 -1.0826 1.4160
In -4.6066 0.1712 0.4300
```

Summary:
Uncorrected formation energy ... -390 meV/atom
Energy relative to the lowest polymorph listed for this composition ... 10.1 kJ per mole of atoms
DFT total energy ... -2.24 eV/atom
Total moment ... 0.00 μB per formula unit

***

Question: What is the total moment in the third record?
Answer: 0.00 μB per formula unit

***

Question: The lowest uncorrected formation energy belongs to which entry?
Answer: Zn3InI9